Entry 1:
# Y2ZrAsOs, optimized geometry, DFT GGA-PBE
data_Y2ZrAsOs
_chemical_formula_sum 'Y2 Zr1 As1 Os1'
_cell_length_a 5.379
_cell_length_b 5.379
_cell_length_c 4.953
_cell_angle_alpha 90.00
_cell_angle_beta 90.00
_cell_angle_gamma 90.00
_space_group_name_H-M_alt 'P 4/m m m'
_space_group_IT_number 123
_space_group_name_Hall '-P 4 2'
loop_
_atom_site_label
_atom_site_type_symbol
_atom_site_fract_x
_atom_site_fract_y
_atom_site_fract_z
Y1 Y 0.000 0.500 0.000
Zr1 Zr 0.000 0.000 0.500
As1 As 0.500 0.500 0.500
Os1 Os 0.000 0.000 0.000
# * N(E_F): 6.1 states/eV/f.u.
# * crystal system: tetragonal
# * theoretical density: 6.188 g/cm³
# * total DFT energy (no corrections): -7.44 eV per atom

Entry 2:
# YZrAsOs2, optimized geometry, DFT GGA-PBE
data_YZrAsOs2
_chemical_formula_sum 'Y1 Zr1 As1 Os2'
_cell_length_a 4.647
_cell_length_b 4.647
_cell_length_c 4.873
_cell_angle_alpha 90.00
_cell_angle_beta 90.00
_cell_angle_gamma 90.00
_space_group_name_H-M_alt 'P 4/m m m'
_space_group_IT_number 123
_space_group_name_Hall '-P 4 2'
loop_
_atom_site_label
_atom_site_type_symbol
_atom_site_fract_x
_atom_site_fract_y
_atom_site_fract_z
Y1 Y 0.000 0.000 0.000
Zr1 Zr 0.500 0.500 0.000
As1 As 0.500 0.500 0.500
Os1 Os 0.000 0.500 0.500
# * E above lowest polymorph: 0.000 eV/atom
# * N(E_F): 4.9 states/eV/f.u.
# * crystal system: tetragonal
# * theoretical density: 10.026 g/cm³
# * total DFT energy (no corrections): -7.96 eV per atom

Entry 3:
# Zn2AsOs, optimized geometry, DFT GGA-PBE
data_Zn2AsOs
_chemical_formula_sum 'Zn6 As3 Os3'
_cell_length_a 3.0149
_cell_length_b 3.0149
_cell_length_c 24.8603
_cell_angle_alpha 90.00
_cell_angle_beta 90.00
_cell_angle_gamma 120.00
_space_group_name_H-M_alt 'R 3 m'
_space_group_IT_number 160
_space_group_name_Hall 'R 3 -2"'
loop_
_atom_site_label
_atom_site_type_symbol
_atom_site_fract_x
_atom_site_fract_y
_atom_site_fract_z
Zn1 Zn 0.0000 0.0000 0.0000
Zn2 Zn 0.0000 0.0000 0.2487
As1 As 0.0000 0.0000 0.4860
Os1 Os 0.0000 0.0000 0.7496
# * N(E_F): 2.5 states/eV/f.u.
# * crystal system: trigonal
# * theoretical density: 10.080 g/cm³
# * total DFT energy (no corrections): -4.43 eV per atom

Entry 4:
# Zn2AsOs, optimized geometry, DFT GGA-PBE
data_Zn2AsOs
_chemical_formula_sum 'Zn4 As2 Os2'
_cell_length_a 5.000
_cell_length_b 7.863
_cell_length_c 3.069
_cell_angle_alpha 90.00
_cell_angle_beta 90.15
_cell_angle_gamma 90.00
_space_group_name_H-M_alt 'C 1 2/m 1'
_space_group_IT_number 12
_space_group_name_Hall '-C 2y'
loop_
_atom_site_label
_atom_site_type_symbol
_atom_site_fract_x
_atom_site_fract_y
_atom_site_fract_z
Zn1 Zn 0.250 0.250 0.000
As1 As 0.000 0.000 0.500
Os1 Os 0.000 0.500 0.500
# * N(E_F): 2.5 states/eV/f.u.
# * crystal system: monoclinic
# * theoretical density: 10.900 g/cm³
# * total DFT energy (no corrections): -4.33 eV per atom

Entry 5:
# ZnAs2Os, optimized geometry, DFT GGA-PBE
data_ZnAs2Os
_chemical_formula_sum 'Zn3 As6 Os3'
_cell_length_a 3.1448
_cell_length_b 3.1448
_cell_length_c 23.7383
_cell_angle_alpha 90.00
_cell_angle_beta 90.00
_cell_angle_gamma 120.00
_space_group_name_H-M_alt 'R -3 m'
_space_group_IT_number 166
_space_group_name_Hall '-R 3 2"'
loop_
_atom_site_label
_atom_site_type_symbol
_atom_site_fract_x
_atom_site_fract_y
_atom_site_fract_z
Zn1 Zn 0.0000 0.0000 0.0000
As1 As 0.0000 0.0000 0.2434
Os1 Os 0.0000 0.0000 0.5000
# * N(E_F): 2.0 states/eV/f.u.
# * crystal system: trigonal
# * theoretical density: 9.935 g/cm³
# * total DFT energy (no corrections): -5.24 eV per atom

Entry 6:
# Zn2AsOs, optimized geometry, DFT GGA-PBE
data_Zn2AsOs
_chemical_formula_sum 'Zn2 As1 Os1'
_cell_length_a 3.062
_cell_length_b 3.679
_cell_length_c 5.368
_cell_angle_alpha 90.00
_cell_angle_beta 90.00
_cell_angle_gamma 90.00
_space_group_name_H-M_alt 'P m m 2'
_space_group_IT_number 25
_space_group_name_Hall 'P 2 -2'
loop_
_atom_site_label
_atom_site_type_symbol
_atom_site_fract_x
_atom_site_fract_y
_atom_site_fract_z
Zn1 Zn 0.000 0.000 0.000
Zn2 Zn 0.500 0.500 0.220
As1 As 0.000 0.000 0.519
Os1 Os 0.500 0.500 0.721
# * N(E_F): 1.6 states/eV/f.u.
# * crystal system: orthorhombic
# * theoretical density: 10.871 g/cm³
# * total DFT energy (no corrections): -4.41 eV per atom

Entry 7:
# ZnAs2Os, optimized geometry, DFT GGA-PBE
data_ZnAs2Os
_chemical_formula_sum 'Zn2 As4 Os2'
_cell_length_a 7.313
_cell_length_b 3.069
_cell_length_c 7.697
_cell_angle_alpha 90.00
_cell_angle_beta 105.65
_cell_angle_gamma 90.00
_space_group_name_H-M_alt 'C 1 2/m 1'
_space_group_IT_number 12
_space_group_name_Hall '-C 2y'
loop_
_atom_site_label
_atom_site_type_symbol
_atom_site_fract_x
_atom_site_fract_y
_atom_site_fract_z
Zn1 Zn 0.000 0.000 0.000
As1 As 0.156 0.000 0.323
Os1 Os 0.000 0.500 0.500
# * N(E_F): 1.7 states/eV/f.u.
# * crystal system: monoclinic
# * theoretical density: 8.095 g/cm³
# * total DFT energy (no corrections): -5.28 eV per atom

Entry 8:
# ZnAs2Os, optimized geometry, DFT GGA-PBE
data_ZnAs2Os
_chemical_formula_sum 'Zn1 As2 Os1'
_cell_length_a 3.011
_cell_length_b 3.011
_cell_length_c 7.521
_cell_angle_alpha 90.00
_cell_angle_beta 90.00
_cell_angle_gamma 90.00
_space_group_name_H-M_alt 'P 4/m m m'
_space_group_IT_number 123
_space_group_name_Hall '-P 4 2'
loop_
_atom_site_label
_atom_site_type_symbol
_atom_site_fract_x
_atom_site_fract_y
_atom_site_fract_z
Zn1 Zn 0.000 0.000 0.000
As1 As 0.500 0.500 0.288
Os1 Os 0.000 0.000 0.500
# * N(E_F): 1.5 states/eV/f.u.
# * crystal system: tetragonal
# * theoretical density: 9.874 g/cm³
# * total DFT energy (no corrections): -5.25 eV per atom

N(E_F) of number 2 (YZrAsOs2)? 4.9 states/eV/f.u.

What did the seventh record say?
# ZnAs2Os, optimized geometry, DFT GGA-PBE
data_ZnAs2Os
_chemical_formula_sum 'Zn2 As4 Os2'
_cell_length_a 7.313
_cell_length_b 3.069
_cell_length_c 7.697
_cell_angle_alpha 90.00
_cell_angle_beta 105.65
_cell_angle_gamma 90.00
_space_group_name_H-M_alt 'C 1 2/m 1'
_space_group_IT_number 12
_space_group_name_Hall '-C 2y'
loop_
_atom_site_label
_atom_site_type_symbol
_atom_site_fract_x
_atom_site_fract_y
_atom_site_fract_z
Zn1 Zn 0.000 0.000 0.000
As1 As 0.156 0.000 0.323
Os1 Os 0.000 0.500 0.500
# * N(E_F): 1.7 states/eV/f.u.
# * crystal system: monoclinic
# * theoretical density: 8.095 g/cm³
# * total DFT energy (no corrections): -5.28 eV per atom

Which formula does entry 4 have? Zn2AsOs

Among the records above, which one has the highest N(E_F)? Y2ZrAsOs